#P
! BiPIrO2, optimized geometry, DFT PBE; values from VASP
&SYSTEM
  ibrav = 0, nat = 5, ntyp = 4
/
ATOMIC_SPECIES
P 30.97 P.upf
Ir 192.22 Ir.upf
Bi 208.98 Bi.upf
O 16.00 O.upf
CELL_PARAMETERS angstrom
4.014 0.000 0.000
0.000 4.014 0.000
0.000 0.000 5.828
ATOMIC_POSITIONS crystal
P 0.000 0.000 0.500
Ir 0.500 0.500 0.500
Bi 0.000 0.000 0.000
O 0.000 0.500 0.000
O 0.500 0.000 0.000
! Mass density (g/cm3): 8.21
! Total magnetization (μB/f.u.): 1.8
! DOS at the Fermi energy (states/eV per cell): 5.39
! Space group: P4/mmm

#Q
! BiPIrO2, optimized geometry, DFT PBE; values from VASP
&SYSTEM
  ibrav = 0, nat = 5, ntyp = 4
/
ATOMIC_SPECIES
P 30.97 P.upf
Ir 192.22 Ir.upf
Bi 208.98 Bi.upf
O 16.00 O.upf
CELL_PARAMETERS angstrom
-1.197 -0.922 -3.679
-3.477 -1.275 1.451
-1.886 4.545 -0.526
ATOMIC_POSITIONS crystal
P 0.000 0.000 0.500
Ir 0.000 0.000 0.000
Bi 0.500 0.500 0.500
O 0.000 0.500 0.000
O 0.500 0.000 0.000
! Mass density (g/cm3): 9.85
! Total magnetization (μB/f.u.): 0.0
! DOS at the Fermi energy (states/eV per cell): 4.97
! Space group: P4/mmm

Stability verdict: #Q, ahead by 78.6 kJ/mol of atoms

#P
! Bi2IrOs, optimized geometry, DFT PBE; values from VASP
&SYSTEM
  ibrav = 0, nat = 8, ntyp = 3
/
ATOMIC_SPECIES
Ir 192.22 Ir.upf
Os 190.23 Os.upf
Bi 208.98 Bi.upf
CELL_PARAMETERS angstrom
-0.711 -5.797 -1.802
-0.721 -1.721 5.820
-6.783 -2.864 1.523
ATOMIC_POSITIONS crystal
Ir 0.000 0.000 0.000
Ir 0.750 0.250 0.500
Os 0.500 0.500 0.000
Os 0.250 0.750 0.500
Bi 0.624 0.125 0.250
Bi 0.126 0.625 0.250
Bi 0.375 0.376 0.750
Bi 0.875 0.874 0.750
! Mass density (g/cm3): 11.57
! Total magnetization (μB/f.u.): 0.0
! DOS at the Fermi energy (states/eV per cell): 4.27
! Space group: I-42d

#Q
! Bi2IrOs, optimized geometry, DFT PBE; values from VASP
&SYSTEM
  ibrav = 0, nat = 4, ntyp = 3
/
ATOMIC_SPECIES
Ir 192.22 Ir.upf
Os 190.23 Os.upf
Bi 208.98 Bi.upf
CELL_PARAMETERS angstrom
-4.826 -0.153 -0.568
-2.895 2.265 3.182
-2.419 4.001 -1.335
ATOMIC_POSITIONS crystal
Ir 0.500 0.500 0.500
Os 0.000 0.000 0.000
Bi 0.250 0.250 0.250
Bi 0.750 0.750 0.750
! Mass density (g/cm3): 16.35
! Total magnetization (μB/f.u.): 1.0
! DOS at the Fermi energy (states/eV per cell): 4.51
! Space group: Fm-3m

Stability verdict: #Q, ahead by 20.0 kJ/mol of atoms

#P
! Bi2PIr2, optimized geometry, DFT PBE; values from VASP
&SYSTEM
  ibrav = 0, nat = 5, ntyp = 3
/
ATOMIC_SPECIES
P 30.97 P.upf
Ir 192.22 Ir.upf
Bi 208.98 Bi.upf
CELL_PARAMETERS angstrom
-3.571 -0.449 0.964
-0.272 -2.880 -2.348
0.280 -6.634 5.149
ATOMIC_POSITIONS crystal
P 0.000 0.000 0.000
Ir 0.750 0.250 0.500
Ir 0.250 0.750 0.500
Bi 0.390 0.390 0.220
Bi 0.610 0.610 0.780
! Mass density (g/cm3): 12.49
! Total magnetization (μB/f.u.): 0.0
! DOS at the Fermi energy (states/eV per cell): 3.73
! Space group: I4/mmm

#Q
! Bi2PIr2, optimized geometry, DFT PBE; values from VASP
&SYSTEM
  ibrav = 0, nat = 10, ntyp = 3
/
ATOMIC_SPECIES
P 30.97 P.upf
Ir 192.22 Ir.upf
Bi 208.98 Bi.upf
CELL_PARAMETERS angstrom
-1.767 2.010 7.737
-2.579 -7.644 1.396
2.921 -0.824 0.881
ATOMIC_POSITIONS crystal
P 0.000 0.000 0.000
P 0.500 0.500 0.000
Ir 0.125 0.625 0.500
Ir 0.625 0.875 0.500
Ir 0.875 0.375 0.500
Ir 0.375 0.125 0.500
Bi 0.333 0.833 0.000
Bi 0.833 0.667 0.000
Bi 0.667 0.167 0.000
Bi 0.167 0.333 0.000
! Mass density (g/cm3): 13.07
! Total magnetization (μB/f.u.): 0.0
! DOS at the Fermi energy (states/eV per cell): 8.26
! Space group: P4/mbm

Stability verdict: #P, ahead by 29.8 kJ/mol of atoms

#P
! BiIr3Pd, optimized geometry, DFT PBE; values from VASP
&SYSTEM
  ibrav = 0, nat = 5, ntyp = 3
/
ATOMIC_SPECIES
Ir 192.22 Ir.upf
Bi 208.98 Bi.upf
Pd 106.42 Pd.upf
CELL_PARAMETERS angstrom
-3.629 2.987 0.988
-1.583 -0.431 -4.514
-2.718 -3.736 1.310
ATOMIC_POSITIONS crystal
Ir 0.000 0.500 0.000
Ir 0.000 0.000 0.500
Ir 0.500 0.000 0.000
Bi 0.500 0.500 0.500
Pd 0.000 0.000 0.000
! Mass density (g/cm3): 13.37
! Total magnetization (μB/f.u.): 3.5
! DOS at the Fermi energy (states/eV per cell): 6.45
! Space group: Pm-3m

#Q
! BiIr3Pd, optimized geometry, DFT PBE; values from VASP
&SYSTEM
  ibrav = 0, nat = 5, ntyp = 3
/
ATOMIC_SPECIES
Ir 192.22 Ir.upf
Bi 208.98 Bi.upf
Pd 106.42 Pd.upf
CELL_PARAMETERS angstrom
4.956 0.000 0.000
0.000 4.956 0.000
0.000 0.000 4.956
ATOMIC_POSITIONS crystal
Ir 0.000 0.500 0.000
Ir 0.000 0.000 0.500
Ir 0.500 0.000 0.000
Bi 0.000 0.000 0.000
Pd 0.500 0.500 0.500
! Mass density (g/cm3): 12.17
! Total magnetization (μB/f.u.): 1.9
! DOS at the Fermi energy (states/eV per cell): 7.68
! Space group: Pm-3m

Stability verdict: #P, ahead by 51.3 kJ/mol of atoms

#P
! Pr3BiIr, optimized geometry, DFT PBE; values from VASP
&SYSTEM
  ibrav = 0, nat = 20, ntyp = 3
/
ATOMIC_SPECIES
Pr 140.91 Pr.upf
Bi 208.98 Bi.upf
Ir 192.22 Ir.upf
CELL_PARAMETERS angstrom
4.445 0.000 0.000
0.000 8.373 0.000
0.000 0.000 16.916
ATOMIC_POSITIONS crystal
Pr 0.250 0.357 0.548
Pr 0.750 0.835 0.202
Pr 0.750 0.487 0.907
Pr 0.750 0.987 0.593
Pr 0.750 0.643 0.452
Pr 0.250 0.013 0.407
Pr 0.250 0.857 0.952
Pr 0.750 0.335 0.298
Pr 0.250 0.665 0.702
Pr 0.250 0.165 0.798
Pr 0.750 0.143 0.048
Pr 0.250 0.513 0.093
Bi 0.750 0.867 0.799
Bi 0.250 0.133 0.201
Bi 0.750 0.367 0.701
Bi 0.250 0.633 0.299
Ir 0.250 0.273 0.958
Ir 0.250 0.773 0.542
Ir 0.750 0.227 0.458
Ir 0.750 0.727 0.042
! Mass density (g/cm3): 8.69
! Total magnetization (μB/f.u.): 0.0
! DOS at the Fermi energy (states/eV per cell): 15.26
! Space group: Pnma

#Q
! Pr3BiIr, optimized geometry, DFT PBE; values from VASP
&SYSTEM
  ibrav = 0, nat = 10, ntyp = 3
/
ATOMIC_SPECIES
Pr 140.91 Pr.upf
Bi 208.98 Bi.upf
Ir 192.22 Ir.upf
CELL_PARAMETERS angstrom
-1.396 2.148 3.832
-1.115 -7.324 3.700
8.124 3.311 1.103
ATOMIC_POSITIONS crystal
Pr 0.750 0.677 0.410
Pr 0.250 0.323 0.590
Pr 0.750 0.332 0.924
Pr 0.250 0.957 0.754
Pr 0.250 0.668 0.076
Pr 0.750 0.043 0.246
Bi 0.250 0.328 0.202
Bi 0.750 0.672 0.798
Ir 0.250 0.922 0.400
Ir 0.750 0.078 0.600
! Mass density (g/cm3): 8.84
! Total magnetization (μB/f.u.): 0.0
! DOS at the Fermi energy (states/eV per cell): 8.66
! Space group: P2_1/m

Stability verdict: #P, ahead by 4.4 kJ/mol of atoms

#P
! BiIrPt3, optimized geometry, DFT PBE; values from VASP
&SYSTEM
  ibrav = 0, nat = 5, ntyp = 3
/
ATOMIC_SPECIES
Ir 192.22 Ir.upf
Bi 208.98 Bi.upf
Pt 195.08 Pt.upf
CELL_PARAMETERS angstrom
4.991 0.000 0.000
0.000 4.991 0.000
0.000 0.000 4.991
ATOMIC_POSITIONS crystal
Ir 0.500 0.500 0.500
Bi 0.000 0.000 0.000
Pt 0.000 0.500 0.000
Pt 0.000 0.000 0.500
Pt 0.500 0.000 0.000
! Mass density (g/cm3): 13.18
! Total magnetization (μB/f.u.): 1.9
! DOS at the Fermi energy (states/eV per cell): 9.12
! Space group: Pm-3m

#Q
! BiIrPt3, optimized geometry, DFT PBE; values from VASP
&SYSTEM
  ibrav = 0, nat = 5, ntyp = 3
/
ATOMIC_SPECIES
Ir 192.22 Ir.upf
Bi 208.98 Bi.upf
Pt 195.08 Pt.upf
CELL_PARAMETERS angstrom
-0.686 -3.892 -2.854
-1.713 -2.499 3.820
-4.513 1.540 -1.016
ATOMIC_POSITIONS crystal
Ir 0.000 0.000 0.000
Bi 0.500 0.500 0.500
Pt 0.000 0.500 0.000
Pt 0.000 0.000 0.500
Pt 0.500 0.000 0.000
! Mass density (g/cm3): 14.14
! Total magnetization (μB/f.u.): 1.0
! DOS at the Fermi energy (states/eV per cell): 7.00
! Space group: Pm-3m

Stability verdict: #Q, ahead by 87.6 kJ/mol of atoms

#P
! Bi6IrPt, optimized geometry, DFT PBE; values from VASP
&SYSTEM
  ibrav = 0, nat = 16, ntyp = 3
/
ATOMIC_SPECIES
Bi 208.98 Bi.upf
Ir 192.22 Ir.upf
Pt 195.08 Pt.upf
CELL_PARAMETERS angstrom
-5.181 3.511 -5.836
5.907 -4.769 -3.947
-4.594 -4.951 5.295
ATOMIC_POSITIONS crystal
Bi 0.158 0.656 0.814
Bi 0.842 0.344 0.186
Bi 0.844 0.668 0.512
Bi 0.156 0.332 0.488
Bi 0.819 0.155 0.660
Bi 0.181 0.845 0.340
Bi 0.505 0.840 0.660
Bi 0.495 0.160 0.340
Bi 0.665 0.819 0.160
Bi 0.335 0.181 0.840
Bi 0.659 0.505 0.840
Bi 0.341 0.495 0.160
Ir 0.000 0.000 0.500
Ir 0.500 0.500 0.500
Pt 0.000 0.500 0.000
Pt 0.500 0.000 0.000
! Mass density (g/cm3): 11.25
! Total magnetization (μB/f.u.): 0.0
! DOS at the Fermi energy (states/eV per cell): 9.41
! Space group: C2/m

#Q
! Bi6IrPt, optimized geometry, DFT PBE; values from VASP
&SYSTEM
  ibrav = 0, nat = 8, ntyp = 3
/
ATOMIC_SPECIES
Bi 208.98 Bi.upf
Ir 192.22 Ir.upf
Pt 195.08 Pt.upf
CELL_PARAMETERS angstrom
-4.498 -1.993 -4.007
5.624 -2.928 0.223
-2.904 -1.586 6.599
ATOMIC_POSITIONS crystal
Bi 0.211 0.211 0.706
Bi 0.479 0.101 0.236
Bi 0.789 0.789 0.294
Bi 0.899 0.521 0.764
Bi 0.521 0.899 0.764
Bi 0.101 0.479 0.236
Ir 0.500 0.500 0.500
Pt 0.000 0.000 0.000
! Mass density (g/cm3): 11.83
! Total magnetization (μB/f.u.): 0.0
! DOS at the Fermi energy (states/eV per cell): 3.62
! Space group: C2/m

Stability verdict: #P, ahead by 18.5 kJ/mol of atoms

#P
! Bi2IrPt2, optimized geometry, DFT PBE; values from VASP
&SYSTEM
  ibrav = 0, nat = 10, ntyp = 3
/
ATOMIC_SPECIES
Ir 192.22 Ir.upf
Bi 208.98 Bi.upf
Pt 195.08 Pt.upf
CELL_PARAMETERS angstrom
7.142 0.000 0.000
0.000 7.142 0.000
0.000 0.000 4.085
ATOMIC_POSITIONS crystal
Ir 0.000 0.000 0.000
Ir 0.500 0.500 0.000
Bi 0.176 0.676 0.500
Bi 0.676 0.824 0.500
Bi 0.824 0.324 0.500
Bi 0.324 0.176 0.500
Pt 0.365 0.865 0.000
Pt 0.865 0.635 0.000
Pt 0.635 0.135 0.000
Pt 0.135 0.365 0.000
! Mass density (g/cm3): 15.94
! Total magnetization (μB/f.u.): 0.0
! DOS at the Fermi energy (states/eV per cell): 8.82
! Space group: P4/mbm

#Q
! Bi2IrPt2, optimized geometry, DFT PBE; values from VASP
&SYSTEM
  ibrav = 0, nat = 5, ntyp = 3
/
ATOMIC_SPECIES
Ir 192.22 Ir.upf
Bi 208.98 Bi.upf
Pt 195.08 Pt.upf
CELL_PARAMETERS angstrom
4.610 0.000 0.000
0.000 4.610 0.000
2.305 2.305 5.539
ATOMIC_POSITIONS crystal
Ir 0.000 0.000 0.000
Bi 0.750 0.250 0.500
Bi 0.250 0.750 0.500
Pt 0.386 0.386 0.228
Pt 0.614 0.614 0.772
! Mass density (g/cm3): 14.11
! Total magnetization (μB/f.u.): 0.3
! DOS at the Fermi energy (states/eV per cell): 4.31
! Space group: I4/mmm

Stability verdict: #P, ahead by 58.0 kJ/mol of atoms

#P
! RbBiIr3, optimized geometry, DFT PBE; values from VASP
&SYSTEM
  ibrav = 0, nat = 5, ntyp = 3
/
ATOMIC_SPECIES
Ir 192.22 Ir.upf
Bi 208.98 Bi.upf
Rb 85.47 Rb.upf
CELL_PARAMETERS angstrom
-3.582 1.666 -3.291
-3.001 -3.984 1.249
-2.145 2.791 3.748
ATOMIC_POSITIONS crystal
Ir 0.000 0.500 0.000
Ir 0.000 0.000 0.500
Ir 0.500 0.000 0.000
Bi 0.000 0.000 0.000
Rb 0.500 0.500 0.500
! Mass density (g/cm3): 10.64
! Total magnetization (μB/f.u.): 0.9
! DOS at the Fermi energy (states/eV per cell): 4.10
! Space group: Pm-3m

#Q
! RbBiIr3, optimized geometry, DFT PBE; values from VASP
&SYSTEM
  ibrav = 0, nat = 5, ntyp = 3
/
ATOMIC_SPECIES
Ir 192.22 Ir.upf
Bi 208.98 Bi.upf
Rb 85.47 Rb.upf
CELL_PARAMETERS angstrom
4.921 0.000 0.000
0.000 4.921 0.000
0.000 0.000 4.921
ATOMIC_POSITIONS crystal
Ir 0.000 0.500 0.000
Ir 0.000 0.000 0.500
Ir 0.500 0.000 0.000
Bi 0.500 0.500 0.500
Rb 0.000 0.000 0.000
! Mass density (g/cm3): 12.14
! Total magnetization (μB/f.u.): 0.8
! DOS at the Fermi energy (states/eV per cell): 6.17
! Space group: Pm-3m

Stability verdict: #P, ahead by 112.9 kJ/mol of atoms

#P
! Bi6IrRh, optimized geometry, DFT PBE; values from VASP
&SYSTEM
  ibrav = 0, nat = 8, ntyp = 3
/
ATOMIC_SPECIES
Bi 208.98 Bi.upf
Ir 192.22 Ir.upf
Rh 102.91 Rh.upf
CELL_PARAMETERS angstrom
6.939 0.197 0.111
3.634 5.380 0.276
3.589 2.054 6.291
ATOMIC_POSITIONS crystal
Bi 0.044 0.473 0.701
Bi 0.722 0.042 0.806
Bi 0.567 0.236 0.274
Bi 0.278 0.958 0.194
Bi 0.956 0.527 0.299
Bi 0.433 0.764 0.726
Ir 0.000 0.000 0.000
Rh 0.500 0.500 0.500
! Mass density (g/cm3): 11.42
! Total magnetization (μB/f.u.): 0.0
! DOS at the Fermi energy (states/eV per cell): 3.93
! Space group: P-1

#Q
! Bi6IrRh, optimized geometry, DFT PBE; values from VASP
&SYSTEM
  ibrav = 0, nat = 16, ntyp = 3
/
ATOMIC_SPECIES
Bi 208.98 Bi.upf
Ir 192.22 Ir.upf
Rh 102.91 Rh.upf
CELL_PARAMETERS angstrom
7.998 -0.030 -2.819
-3.965 6.944 -2.822
-0.007 -0.009 8.484
ATOMIC_POSITIONS crystal
Bi 0.159 0.664 0.823
Bi 0.841 0.336 0.177
Bi 0.843 0.663 0.506
Bi 0.157 0.337 0.494
Bi 0.821 0.158 0.664
Bi 0.179 0.842 0.336
Bi 0.506 0.843 0.664
Bi 0.494 0.157 0.336
Bi 0.663 0.821 0.157
Bi 0.337 0.179 0.843
Bi 0.664 0.506 0.843
Bi 0.336 0.494 0.157
Ir 0.000 0.000 0.500
Ir 0.500 0.500 0.500
Rh 0.000 0.500 0.000
Rh 0.500 0.000 0.000
! Mass density (g/cm3): 10.95
! Total magnetization (μB/f.u.): 0.0
! DOS at the Fermi energy (states/eV per cell): 4.34
! Space group: C2/m

Stability verdict: #Q, ahead by 9.0 kJ/mol of atoms

#P
! Bi3IrRh, optimized geometry, DFT PBE; values from VASP
&SYSTEM
  ibrav = 0, nat = 20, ntyp = 3
/
ATOMIC_SPECIES
Bi 208.98 Bi.upf
Ir 192.22 Ir.upf
Rh 102.91 Rh.upf
CELL_PARAMETERS angstrom
6.631 0.733 0.708
3.113 9.043 0.529
3.113 0.852 9.018
ATOMIC_POSITIONS crystal
Bi 0.613 0.324 0.409
Bi 0.759 0.949 0.789
Bi 0.113 0.409 0.324
Bi 0.887 0.591 0.676
Bi 0.875 0.862 0.351
Bi 0.259 0.789 0.949
Bi 0.387 0.676 0.591
Bi 0.741 0.211 0.051
Bi 0.241 0.051 0.211
Bi 0.375 0.351 0.862
Bi 0.125 0.138 0.649
Bi 0.625 0.649 0.138
Ir 0.973 0.355 0.112
Ir 0.473 0.112 0.355
Ir 0.527 0.888 0.645
Ir 0.027 0.645 0.888
Rh 0.750 0.391 0.609
Rh 0.250 0.095 0.905
Rh 0.750 0.905 0.095
Rh 0.250 0.609 0.391
! Mass density (g/cm3): 12.24
! Total magnetization (μB/f.u.): 0.0
! DOS at the Fermi energy (states/eV per cell): 11.34
! Space group: C2/c

#Q
! Bi3IrRh, optimized geometry, DFT PBE; values from VASP
&SYSTEM
  ibrav = 0, nat = 5, ntyp = 3
/
ATOMIC_SPECIES
Ir 192.22 Ir.upf
Rh 102.91 Rh.upf
Bi 208.98 Bi.upf
CELL_PARAMETERS angstrom
-0.624 5.088 0.667
-1.324 -0.809 4.931
4.958 0.424 1.401
ATOMIC_POSITIONS crystal
Ir 0.500 0.500 0.500
Rh 0.000 0.000 0.000
Bi 0.000 0.500 0.000
Bi 0.000 0.000 0.500
Bi 0.500 0.000 0.000
! Mass density (g/cm3): 11.08
! Total magnetization (μB/f.u.): 0.0
! DOS at the Fermi energy (states/eV per cell): 4.14
! Space group: Pm-3m

Stability verdict: #P, ahead by 82.4 kJ/mol of atoms

#P
! BiIr3Rh, optimized geometry, DFT PBE; values from VASP
&SYSTEM
  ibrav = 0, nat = 5, ntyp = 3
/
ATOMIC_SPECIES
Ir 192.22 Ir.upf
Rh 102.91 Rh.upf
Bi 208.98 Bi.upf
CELL_PARAMETERS angstrom
-0.944 3.846 2.645
-4.602 -0.317 -1.181
-0.778 -2.790 3.780
ATOMIC_POSITIONS crystal
Ir 0.000 0.500 0.000
Ir 0.000 0.000 0.500
Ir 0.500 0.000 0.000
Rh 0.000 0.000 0.000
Bi 0.500 0.500 0.500
! Mass density (g/cm3): 13.66
! Total magnetization (μB/f.u.): 1.0
! DOS at the Fermi energy (states/eV per cell): 10.62
! Space group: Pm-3m

#Q
! BiIr3Rh, optimized geometry, DFT PBE; values from VASP
&SYSTEM
  ibrav = 0, nat = 5, ntyp = 3
/
ATOMIC_SPECIES
Ir 192.22 Ir.upf
Rh 102.91 Rh.upf
Bi 208.98 Bi.upf
CELL_PARAMETERS angstrom
-1.945 0.408 -4.518
-1.502 -4.696 0.222
-4.280 1.463 1.975
ATOMIC_POSITIONS crystal
Ir 0.000 0.500 0.000
Ir 0.000 0.000 0.500
Ir 0.500 0.000 0.000
Rh 0.500 0.500 0.500
Bi 0.000 0.000 0.000
! Mass density (g/cm3): 12.27
! Total magnetization (μB/f.u.): 3.0
! DOS at the Fermi energy (states/eV per cell): 9.03
! Space group: Pm-3m

Stability verdict: #P, ahead by 82.9 kJ/mol of atoms